! Pb3Se4, optimized geometry, DFT PBE; values from VASP
&SYSTEM
  ibrav = 0, nat = 7, ntyp = 2
/
ATOMIC_SPECIES
Pb 207.20 Pb.upf
Se 78.96 Se.upf
ATOMIC_POSITIONS angstrom
Pb 0.0000 0.0000 0.0000
Pb 0.0000 0.0000 9.0763
Pb 0.0000 0.0000 29.3997
Se 0.0000 0.0000 5.2912
Se 0.0000 0.0000 14.6181
Se 0.0000 0.0000 23.8579
Se 0.0000 0.0000 33.1848
CELL_PARAMETERS angstrom
2.1430 1.2372 12.8254
-2.1430 1.2372 12.8254
0.0000 -2.4745 12.8254
! E: -3.9295 eV per atom
! calculated density: 7.6 g/cm³
! crystal system: trigonal
! total magnetization: 0.00 μB/f.u.
! SG: R-3m, No. 166
! energy relative to the elements, uncorrected: -0.3490 eV per atom
! D(E_F): 0.4828 states/eV/atom

***

! PbSe, optimized geometry, DFT PBE; values from VASP
&SYSTEM
  ibrav = 0, nat = 2, ntyp = 2
/
ATOMIC_SPECIES
Pb 207.20 Pb.upf
Se 78.96 Se.upf
ATOMIC_POSITIONS angstrom
Pb 0.0000 0.0000 0.0000
Se 3.1040 3.1040 3.1040
CELL_PARAMETERS angstrom
0.0000 3.1040 3.1040
3.1040 0.0000 3.1040
3.1040 3.1040 0.0000
! E: -4.1637 eV per atom
! calculated density: 7.9 g/cm³
! crystal system: cubic
! total magnetization: 0.00 μB/f.u.
! SG: Fm-3m, No. 225
! energy relative to the elements, uncorrected: -0.5673 eV per atom
! D(E_F): 0.0120 states/eV/atom

***

! PbSe, optimized geometry, DFT PBE; values from VASP
&SYSTEM
  ibrav = 0, nat = 4, ntyp = 2
/
ATOMIC_SPECIES
Pb 207.20 Pb.upf
Se 78.96 Se.upf
ATOMIC_POSITIONS angstrom
Pb 0.0000 0.0000 2.6210
Pb 0.0000 0.0000 12.2761
Se 0.0000 0.0000 6.2630
Se 0.0000 0.0000 8.6341
CELL_PARAMETERS angstrom
2.7605 1.5938 4.9657
-2.7605 1.5938 4.9657
0.0000 -3.1875 4.9657
! E: -3.5134 eV per atom
! calculated density: 7.3 g/cm³
! crystal system: trigonal
! total magnetization: 0.00 μB/f.u.
! SG: R-3m, No. 166
! energy relative to the elements, uncorrected: 0.0830 eV per atom
! D(E_F): 0.4373 states/eV/atom

***

! Pb4Se, optimized geometry, DFT PBE; values from VASP
&SYSTEM
  ibrav = 0, nat = 5, ntyp = 2
/
ATOMIC_SPECIES
Pb 207.20 Pb.upf
Se 78.96 Se.upf
ATOMIC_POSITIONS angstrom
Pb 1.7577 1.7577 -1.7577
Pb 1.7577 -1.7577 1.7577
Pb -1.7577 1.7577 1.7577
Pb 1.7577 1.7577 1.7577
Se 0.0000 0.0000 0.0000
CELL_PARAMETERS angstrom
-3.5155 3.5155 3.5155
3.5155 -3.5155 3.5155
3.5155 3.5155 -3.5155
! E: -3.5805 eV per atom
! calculated density: 8.7 g/cm³
! crystal system: cubic
! total magnetization: 0.00 μB/f.u.
! SG: Im-3m, No. 229
! energy relative to the elements, uncorrected: 0.0831 eV per atom
! D(E_F): 0.4314 states/eV/atom

***

! Pb3Se5, optimized geometry, DFT PBE; values from VASP
&SYSTEM
  ibrav = 0, nat = 16, ntyp = 2
/
ATOMIC_SPECIES
Pb 207.20 Pb.upf
Se 78.96 Se.upf
ATOMIC_POSITIONS angstrom
Pb 0.0000 0.0000 0.0000
Pb -2.4373 -0.3156 6.6896
Pb 0.2376 2.9345 3.8982
Pb 2.5985 -0.6005 4.0291
Pb 4.1370 0.0447 0.3050
Pb 4.3245 3.3164 3.3053
Se -2.3894 5.2927 1.4823
Se -2.3489 2.5253 5.9223
Se -0.0279 5.3428 1.9916
Se 2.1782 1.6000 2.1053
Se 2.9058 4.1154 0.0745
Se 1.7379 1.5971 6.5371
Se 3.1440 -1.9127 6.7373
Se 2.2937 4.5496 5.3131
Se 5.5488 -0.8091 3.7311
Se 6.1822 1.1363 2.3565
CELL_PARAMETERS angstrom
8.2561 0.0000 0.0000
-2.9873 7.9669 0.0000
-1.4895 -4.5917 7.7484
! E: -3.8894 eV per atom
! calculated density: 6.6 g/cm³
! crystal system: triclinic
! total magnetization: 0.00 μB/f.u.
! SG: P1, No. 1
! energy relative to the elements, uncorrected: -0.3210 eV per atom

***

! Pb4Se, optimized geometry, DFT PBE; values from VASP
&SYSTEM
  ibrav = 0, nat = 5, ntyp = 2
/
ATOMIC_SPECIES
Pb 207.20 Pb.upf
Se 78.96 Se.upf
ATOMIC_POSITIONS angstrom
Pb 0.0000 0.0000 1.5673
Pb 2.1734 0.0000 4.2889
Pb 0.0000 2.1734 4.2889
Pb 0.0000 0.0000 15.5884
Se 0.0000 0.0000 8.5778
CELL_PARAMETERS angstrom
-2.1734 2.1734 8.5778
2.1734 -2.1734 8.5778
2.1734 2.1734 -8.5778
! E: -3.5993 eV per atom
! calculated density: 9.3 g/cm³
! crystal system: tetragonal
! total magnetization: 0.00 μB/f.u.
! SG: I4/mmm, No. 139
! energy relative to the elements, uncorrected: 0.0643 eV per atom
! D(E_F): 0.4175 states/eV/atom

***

! PbSe2, optimized geometry, DFT PBE; values from VASP
&SYSTEM
  ibrav = 0, nat = 3, ntyp = 2
/
ATOMIC_SPECIES
Pb 207.20 Pb.upf
Se 78.96 Se.upf
ATOMIC_POSITIONS angstrom
Pb 0.0000 0.0000 0.0000
Se 0.0000 2.8063 1.9213
Se 2.4303 1.4031 1.9213
CELL_PARAMETERS angstrom
4.8606 0.0000 0.0000
-2.4303 4.2094 0.0000
0.0000 0.0000 3.8426
! E: -3.5275 eV per atom
! calculated density: 7.7 g/cm³
! crystal system: hexagonal
! total magnetization: 0.00 μB/f.u.
! SG: P6/mmm, No. 191
! energy relative to the elements, uncorrected: 0.0316 eV per atom
! D(E_F): 0.8602 states/eV/atom

***

! PbSe, optimized geometry, DFT PBE; values from VASP
&SYSTEM
  ibrav = 0, nat = 8, ntyp = 2
/
ATOMIC_SPECIES
Pb 207.20 Pb.upf
Se 78.96 Se.upf
ATOMIC_POSITIONS angstrom
Pb 1.3943 1.3943 -1.3943
Pb 1.3943 -1.3943 1.3943
Pb -1.3943 1.3943 1.3943
Pb 3.4273 3.4273 3.4273
Se 3.3215 3.3215 -3.3215
Se 3.3215 -3.3215 3.3215
Se 1.5001 1.5001 1.5001
Se -3.3215 3.3215 3.3215
CELL_PARAMETERS angstrom
-4.8217 4.8217 4.8217
4.8217 -4.8217 4.8217
4.8217 4.8217 -4.8217
! E: -3.9713 eV per atom
! calculated density: 4.2 g/cm³
! crystal system: cubic
! total magnetization: 0.00 μB/f.u.
! SG: I-43m, No. 217
! energy relative to the elements, uncorrected: -0.3749 eV per atom
! D(E_F): 0.0000 states/eV/atom